Record 1
Density functional theory data (PBEsol) for a relaxed structure of KGd2CuSe4.

```
KGd2CuSe4
1.0
2.0409 -6.9822 0.0000
2.0409 6.9822 0.0000
0.0000 0.0000 14.1604
K Gd Cu Se
2 4 2 8
Direct
0.1109 0.8891 0.7500
0.8891 0.1109 0.2500
0.3655 0.6345 0.5636
0.3655 0.6345 0.9364
0.6345 0.3655 0.0636
0.6345 0.3655 0.4364
0.1596 0.8404 0.2500
0.8404 0.1596 0.7500
0.0000 0.0000 0.0000
0.0000 0.0000 0.5000
0.2658 0.7342 0.1142
0.2658 0.7342 0.3858
0.4358 0.5642 0.7500
0.5642 0.4358 0.2500
0.7342 0.2658 0.6142
0.7342 0.2658 0.8858
```

Space-group type: Cmcm, No. 63
Formation energy without anion corrections, eV/atom: -1.53


Record 2
Density functional theory data (PBEsol) for a relaxed structure of PmGdCu2.

```
PmGdCu2
1.0
0.0000 3.4693 3.4693
3.4693 0.0000 3.4693
3.4693 3.4693 0.0000
Pm Gd Cu
1 1 2
Direct
0.0000 0.0000 0.0000
0.5000 0.5000 0.5000
0.2500 0.2500 0.2500
0.7500 0.7500 0.7500
```

Formation energy from the elements, kJ/mol of atoms: -14.9
Space-group type: Fm-3m, No. 225
Density of states at the Fermi level, states/eV/cell: 2.99


What is the formula in the second record?
PmGdCu2